DFT (PBE) results for an optimized crystal structure of Ce3Cd9Ag2.

Calculated values
As for the calculated formation energy: -0.170 eV per atom. For the magnetic moment, the calculation gives 3.6 μB per cell.

Cell lengths 4.934, 8.833, 8.833 Å; angles 68.72, 73.78, 73.78 degrees
Fractional positions:
Cd (0.648, 0.992, 0.712)
Cd (0.352, 0.288, 0.008)
Cd (0.859, 0.856, 0.426)
Cd (0.352, 0.008, 0.288)
Cd (0.141, 0.574, 0.144)
Cd (0.141, 0.144, 0.574)
Cd (0.859, 0.426, 0.856)
Cd (0.000, 0.500, 0.500)
Cd (0.648, 0.712, 0.992)
Ce (0.000, 0.000, 0.000)
Ce (0.290, 0.710, 0.710)
Ce (0.710, 0.290, 0.290)
Ag (0.500, 0.658, 0.342)
Ag (0.500, 0.342, 0.658)